No. 1
VASP calculation (PBE) on a geometry-optimized La2IrPt structure.

Output
M_tot = 0.0 Bohr magnetons per cell
ΔE_f = -3.9 eV per formula unit
volume = 98.86 Å³/f.u.
crystal system = monoclinic
E = -7.1571 eV per atom

a b c (Å): 5.9875 4.3789 8.0149
angles (deg): 90.00 109.80 90.00
With the nearest neighbours (Å) after each atom.
Sites, in units of the cell vectors:
La 0.2231 0.2500 0.4367  4 Ir 2.99-3.32, 3 Pt 3.05-3.23
La 0.2276 0.2500 0.9251  3 Ir 2.97-3.27, 4 Pt 3.04-3.21
La 0.7724 0.7500 0.0749  3 Ir 2.97-3.27, 4 Pt 3.04-3.21
La 0.7769 0.7500 0.5633  4 Ir 2.99-3.32, 3 Pt 3.05-3.23
Ir 0.3175 0.7500 0.7063  7 La 2.97-3.32, 2 Pt 3.00
Ir 0.6825 0.2500 0.2937  7 La 2.97-3.32, 2 Pt 3.00
Pt 0.3196 0.7500 0.2042  2 Ir 3.00, 7 La 3.04-3.23
Pt 0.6804 0.2500 0.7958  2 Ir 3.00, 7 La 3.04-3.23

No. 2
VASP calculation (PBE) on a geometry-optimized La2IrPt structure.

Output
M_tot = 0.0 Bohr magnetons per cell
ΔE_f = -3.8 eV per formula unit
volume = 98.72 Å³/f.u.
crystal system = orthorhombic
E = -7.1483 eV per atom

a b c (Å): 4.4447 5.9120 5.9120
angles (deg): 39.46 90.00 90.00
With the nearest neighbours (Å) after each atom.
Sites, in units of the cell vectors:
La 0.0000 0.0000 0.0000  3 Ir 2.95-3.29, 4 Pt 3.04
La 0.5000 0.2749 0.2749  4 Ir 3.02, 3 Pt 3.08-3.18
Ir 0.0000 0.7348 0.7348  7 La 2.95-3.29, 2 Pt 3.01
Pt 0.5000 0.5520 0.5520  2 Ir 3.01, 7 La 3.04-3.18

No. 3
VASP calculation (PBE) on a geometry-optimized LaSn2IrPt structure.

Output
M_tot = 0.0 Bohr magnetons per cell
volume = 114.04 Å³/f.u.
crystal system = tetragonal
E = -6.3155 eV per atom

a b c (Å): 4.6425 4.6425 10.5825
angles (deg): 90.00 90.00 90.00
With the nearest neighbours (Å) after each atom.
Sites, in units of the cell vectors:
La 0.2500 0.2500 0.2491  8 Sn 3.51-3.53, 4 Ir 3.53, 4 Pt 3.53
La 0.7500 0.7500 0.7509  8 Sn 3.51-3.53, 4 Ir 3.53, 4 Pt 3.53
Sn 0.2500 0.2500 0.6287  1 Ir 2.58, 4 Pt 2.69
Sn 0.2500 0.7500 0.0000  4 Ir 2.68
Sn 0.7500 0.2500 0.0000  4 Ir 2.68
Sn 0.7500 0.7500 0.3713  1 Ir 2.58, 4 Pt 2.69
Ir 0.2500 0.2500 0.8728  5 Sn 2.58-2.68
Ir 0.7500 0.7500 0.1272  5 Sn 2.58-2.68
Pt 0.2500 0.7500 0.5000  4 Sn 2.69
Pt 0.7500 0.2500 0.5000  4 Sn 2.69

No. 4
VASP calculation (PBE) on a geometry-optimized LaTb2Zn3Ir2Pt structure.

Output
M_tot = 0.0 Bohr magnetons per cell
ΔE_f = -6.9 eV per formula unit
volume = 180.55 Å³/f.u.
crystal system = orthorhombic
E = -5.4002 eV per atom

a b c (Å): 3.9604 7.2506 7.2506
angles (deg): 119.87 90.00 90.00
With the nearest neighbours (Å) after each atom.
Sites, in units of the cell vectors:
La 0.0000 0.0000 0.0000  4 Ir 2.97, 1 Pt 3.06, 6 Zn 3.18-3.32
Tb 0.0000 0.4152 0.8260  4 Ir 2.93-2.96, 1 Pt 2.96, 6 Zn 3.16-3.26
Tb 0.0000 0.8260 0.4152  4 Ir 2.93-2.96, 1 Pt 2.96, 6 Zn 3.16-3.26
Zn 0.5000 0.1693 0.4220  2 Pt 2.70, 2 Ir 2.70-2.81
Zn 0.5000 0.4220 0.1693  2 Pt 2.70, 2 Ir 2.70-2.81
Zn 0.5000 0.6578 0.6578  2 Pt 2.62, 2 Ir 2.84
Ir 0.5000 0.0860 0.7465  3 Zn 2.70-2.84, 4 Tb 2.93-2.96, 2 La 2.97
Ir 0.5000 0.7465 0.0860  3 Zn 2.70-2.84, 4 Tb 2.93-2.96, 2 La 2.97
Pt 0.0000 0.4211 0.4211  6 Zn 2.62-2.70

No. 5
VASP calculation (PBE) on a geometry-optimized La3Zn3Ir2Pt structure.

Output
M_tot = 0.0 Bohr magnetons per cell
ΔE_f = -6.6 eV per formula unit
volume = 191.98 Å³/f.u.
crystal system = hexagonal
E = -5.4361 eV per atom

a b c (Å): 7.3992 7.3992 4.0490
angles (deg): 90.00 90.00 120.00
With the nearest neighbours (Å) after each atom.
Sites, in units of the cell vectors:
La 0.0000 0.4178 0.0000  4 Ir 3.01, 1 Pt 3.09, 6 Zn 3.25-3.36
La 0.4178 0.0000 0.0000  4 Ir 3.01, 1 Pt 3.09, 6 Zn 3.25-3.36
La 0.5822 0.5822 0.0000  4 Ir 3.01, 1 Pt 3.09, 6 Zn 3.25-3.36
Zn 0.0000 0.7609 0.5000  2 Pt 2.69, 2 Ir 2.88
Zn 0.2391 0.2391 0.5000  2 Pt 2.69, 2 Ir 2.88
Zn 0.7609 0.0000 0.5000  2 Pt 2.69, 2 Ir 2.88
Ir 0.3333 0.6667 0.5000  3 Zn 2.88, 6 La 3.01
Ir 0.6667 0.3333 0.5000  3 Zn 2.88, 6 La 3.01
Pt 0.0000 0.0000 0.0000  6 Zn 2.69

No. 6
VASP calculation (PBE) on a geometry-optimized La3Zn3IrPt2 structure.

Output
M_tot = 0.0 Bohr magnetons per cell
ΔE_f = -7.4 eV per formula unit
volume = 195.50 Å³/f.u.
crystal system = hexagonal
E = -5.2152 eV per atom

a b c (Å): 7.4171 7.4171 4.1034
angles (deg): 90.00 90.00 120.00
With the nearest neighbours (Å) after each atom.
Sites, in units of the cell vectors:
La 0.0000 0.4071 0.0000  1 Ir 3.02, 4 Pt 3.04, 6 Zn 3.33-3.38
La 0.4071 0.0000 0.0000  1 Ir 3.02, 4 Pt 3.04, 6 Zn 3.33-3.38
La 0.5929 0.5929 0.0000  1 Ir 3.02, 4 Pt 3.04, 6 Zn 3.33-3.38
Zn 0.0000 0.7693 0.5000  2 Ir 2.67, 2 Pt 2.93, 2 Zn 2.96
Zn 0.2307 0.2307 0.5000  2 Ir 2.67, 2 Pt 2.93, 2 Zn 2.96
Zn 0.7693 0.0000 0.5000  2 Ir 2.67, 2 Pt 2.93, 2 Zn 2.96
Ir 0.0000 0.0000 0.0000  6 Zn 2.67
Pt 0.3333 0.6667 0.5000  3 Zn 2.93, 6 La 3.04
Pt 0.6667 0.3333 0.5000  3 Zn 2.93, 6 La 3.04

No. 7
VASP calculation (PBE) on a geometry-optimized RbLaIr structure.

Output
M_tot = 0.0 Bohr magnetons per cell
volume = 93.78 Å³/f.u.
polymorph energy (0 for the lowest one) = 0 meV per atom
crystal system = cubic
E = -4.6545 eV per atom

a b c (Å): 5.0996 5.0996 5.0996
angles (deg): 60.00 60.00 60.00
With the nearest neighbours (Å) after each atom.
Sites, in units of the cell vectors:
Rb 0.0000 0.0000 0.0000  4 Ir 3.12
La 0.5000 0.5000 0.5000  4 Ir 3.12
Ir 0.7500 0.7500 0.7500  4 La 3.12, 4 Rb 3.12

No. 8
VASP calculation (PBE) on a geometry-optimized La2IrS5 structure.

Output
M_tot = 0.0 Bohr magnetons per cell
volume = 170.05 Å³/f.u.
crystal system = orthorhombic
E = -6.3503 eV per atom

a b c (Å): 7.9383 11.0007 3.8947
angles (deg): 90.00 90.00 90.00
With the nearest neighbours (Å) after each atom.
Sites, in units of the cell vectors:
La 0.1027 0.1724 0.0000  8 S 2.84-3.08
La 0.3973 0.6724 0.0000  8 S 2.84-3.08
La 0.6027 0.3276 0.0000  8 S 2.84-3.08
La 0.8973 0.8276 0.0000  8 S 2.84-3.08
Ir 0.0000 0.5000 0.5000  6 S 2.41-2.44
Ir 0.5000 0.0000 0.5000  6 S 2.41-2.44
S 0.0000 0.0000 0.5000  4 La 2.84
S 0.1172 0.7020 0.5000  1 Ir 2.41
S 0.1705 0.4481 0.0000  2 Ir 2.44
S 0.3295 0.9481 0.0000  2 Ir 2.44
S 0.3828 0.2020 0.5000  1 Ir 2.41
S 0.5000 0.5000 0.5000  4 La 2.84
S 0.6172 0.7980 0.5000  1 Ir 2.41
S 0.6705 0.0519 0.0000  2 Ir 2.44
S 0.8295 0.5519 0.0000  2 Ir 2.44
S 0.8828 0.2980 0.5000  1 Ir 2.41

No. 9
VASP calculation (PBE) on a geometry-optimized La3SbIr structure.

Output
M_tot = 0.2 Bohr magnetons per cell
volume = 157.32 Å³/f.u.
crystal system = orthorhombic
E = -6.4140 eV per atom

a b c (Å): 6.9062 6.9062 10.8829
angles (deg): 90.00 90.00 142.69
With the nearest neighbours (Å) after each atom.
Sites, in units of the cell vectors:
La 0.0635 0.9365 0.7500  2 Ir 2.84
La 0.3583 0.6417 0.5456  2 Ir 2.93
La 0.3583 0.6417 0.9544  2 Ir 2.93
La 0.6417 0.3583 0.0456  2 Ir 2.93
La 0.6417 0.3583 0.4544  2 Ir 2.93
La 0.9365 0.0635 0.2500  2 Ir 2.84
Sb 0.2441 0.7559 0.2500  8 La 3.35-3.55
Sb 0.7559 0.2441 0.7500  8 La 3.35-3.55
Ir 0.0000 0.0000 0.0000  6 La 2.84-2.93
Ir 0.0000 0.0000 0.5000  6 La 2.84-2.93

No. 10
VASP calculation (PBE) on a geometry-optimized LaSnSbIr2 structure.

Output
M_tot = 0.0 Bohr magnetons per cell
volume = 111.73 Å³/f.u.
crystal system = tetragonal
E = -6.7794 eV per atom

a b c (Å): 4.5889 4.5889 10.6118
angles (deg): 90.00 90.00 90.00
With the nearest neighbours (Å) after each atom.
Sites, in units of the cell vectors:
La 0.2500 0.2500 0.2496  4 Sn 3.48, 4 Sb 3.50, 8 Ir 3.51-3.52
La 0.7500 0.7500 0.7504  4 Sn 3.48, 4 Sb 3.50, 8 Ir 3.51-3.52
Sn 0.2500 0.2500 0.6318  5 Ir 2.62-2.69
Sn 0.7500 0.7500 0.3682  5 Ir 2.62-2.69
Sb 0.2500 0.7500 0.0000  4 Ir 2.63
Sb 0.7500 0.2500 0.0000  4 Ir 2.63
Ir 0.2500 0.2500 0.8786  1 Sn 2.62, 4 Sb 2.63
Ir 0.2500 0.7500 0.5000  4 Sn 2.69
Ir 0.7500 0.2500 0.5000  4 Sn 2.69
Ir 0.7500 0.7500 0.1214  1 Sn 2.62, 4 Sb 2.63

No. 11
VASP calculation (PBE) on a geometry-optimized LaTaSb2Ir2 structure.

Output
M_tot = 0.0 Bohr magnetons per cell
volume = 139.11 Å³/f.u.
crystal system = orthorhombic
E = -7.8170 eV per atom

a b c (Å): 4.5301 9.4060 6.5295
angles (deg): 90.00 90.00 90.00
With the nearest neighbours (Å) after each atom.
Sites, in units of the cell vectors:
La 0.0000 0.1189 0.0000  4 Ir 2.96-3.15, 1 Sb 3.24
La 0.5000 0.8811 0.5000  4 Ir 2.96-3.15, 1 Sb 3.24
Ta 0.0000 0.6119 0.0047  4 Ir 2.49-2.74
Ta 0.5000 0.3881 0.5047  4 Ir 2.49-2.74
Sb 0.0000 0.1470 0.4947  3 Ir 2.70-2.77
Sb 0.0000 0.6218 0.5157  4 Ir 2.66-2.81
Sb 0.5000 0.3782 0.0157  4 Ir 2.66-2.81
Sb 0.5000 0.8530 0.9947  3 Ir 2.70-2.77
Ir 0.0000 0.3965 0.2689  3 Ta 2.66-2.74, 4 Sb 2.66-2.81
Ir 0.0000 0.8308 0.2184  1 Ta 2.49, 3 Sb 2.70-2.76
Ir 0.5000 0.1692 0.7184  1 Ta 2.49, 3 Sb 2.70-2.76
Ir 0.5000 0.6035 0.7689  3 Ta 2.66-2.74, 4 Sb 2.66-2.81

No. 12
VASP calculation (PBE) on a geometry-optimized La2ScIr2 structure.

Output
M_tot = 0.0 Bohr magnetons per cell
ΔE_f = -3.3 eV per formula unit
volume = 119.81 Å³/f.u.
crystal system = tetragonal
E = -7.4341 eV per atom

a b c (Å): 7.5418 7.5418 4.2127
angles (deg): 90.00 90.00 90.00
With the nearest neighbours (Å) after each atom.
Sites, in units of the cell vectors:
La 0.1639 0.3361 0.0000  6 Ir 2.92-3.15
La 0.3361 0.8361 0.0000  6 Ir 2.92-3.15
La 0.6639 0.1639 0.0000  6 Ir 2.92-3.15
La 0.8361 0.6639 0.0000  6 Ir 2.92-3.15
Sc 0.0000 0.0000 0.5000  4 Ir 2.89
Sc 0.5000 0.5000 0.5000  4 Ir 2.89
Ir 0.1464 0.6464 0.5000  2 Sc 2.89, 6 La 2.92-3.15, 1 Ir 3.12
Ir 0.3536 0.1464 0.5000  2 Sc 2.89, 6 La 2.92-3.15, 1 Ir 3.12
Ir 0.6464 0.8536 0.5000  2 Sc 2.89, 6 La 2.92-3.15, 1 Ir 3.12
Ir 0.8536 0.3536 0.5000  2 Sc 2.89, 6 La 2.92-3.15, 1 Ir 3.12